No. 1
LiSmZnSe3 | PBE | relaxed

abc: 4.0888 11.7231 11.9967
angles: 90.00 90.00 90.00
Atoms (fractional coordinates):
Sm: 0.0000 0.6800 0.0363
Se: 0.5000 0.1674 0.2144
Se: 0.0000 0.4303 0.0946
Se: 0.5000 0.9303 0.4054
Li: 0.0000 0.4886 0.6203
Se: 0.0000 0.8326 0.7856
Se: 0.0000 0.1364 0.9335
Zn: 0.0000 0.2895 0.2406
Zn: 0.5000 0.7895 0.2594
Li: 0.5000 0.5114 0.3797
Li: 0.0000 0.0114 0.1203
Se: 0.5000 0.8636 0.0665
Li: 0.5000 0.9886 0.8797
Se: 0.5000 0.3326 0.7144
Se: 0.5000 0.5697 0.9054
Se: 0.0000 0.3636 0.4335
Zn: 0.5000 0.7105 0.7594
Sm: 0.0000 0.8200 0.5363
Se: 0.5000 0.6364 0.5665
Sm: 0.5000 0.1800 0.4637
Se: 0.0000 0.0697 0.5946
Sm: 0.5000 0.3200 0.9637
Se: 0.0000 0.6674 0.2856
Zn: 0.0000 0.2105 0.7406

Relative energy among the computed polymorphs in meV/atom: 0
V in Å³/atom: 23.96
Magnetization in μB per formula unit: 0.00

No. 2
LiSmZnSe3 | PBE | relaxed

abc: 6.8264 6.8264 11.0971
angles: 90.00 90.00 34.28
Atoms (fractional coordinates):
Se: 0.9082 0.9082 0.7500
Sm: 0.0000 0.0000 0.5000
Se: 0.3549 0.3549 0.4196
Zn: 0.4750 0.4750 0.2500
Sm: 0.0000 0.0000 0.0000
Zn: 0.5250 0.5250 0.7500
Li: 0.2249 0.2249 0.7500
Se: 0.3549 0.3549 0.0804
Li: 0.7751 0.7751 0.2500
Se: 0.0918 0.0918 0.2500
Se: 0.6451 0.6451 0.5804
Se: 0.6451 0.6451 0.9196

Relative energy among the computed polymorphs in meV/atom: 14
V in Å³/atom: 24.27
Magnetization in μB per formula unit: 0.00